VASP calculation (PBE-GGA) on a relaxed structure of RbRe2O7.

Cell and atoms, written as POSCAR:
```
RbRe2O7
1.0
3.090 -5.195 0.000
3.090 5.195 0.000
0.000 0.000 3.844
Rb Re O
1 2 7
Direct
0.000 0.000 0.000
0.309 0.691 0.500
0.691 0.309 0.500
0.035 0.337 0.500
0.308 0.692 0.000
0.337 0.035 0.500
0.500 0.500 0.500
0.663 0.965 0.500
0.692 0.308 0.000
0.965 0.663 0.500
```

Properties
- raw total energy (eV/atom) = -7.552